Record 1
! PrSmTm6 (PBE-GGA, relaxed); values from VASP
&SYSTEM
  ibrav = 0, nat = 8, ntyp = 3
/
ATOMIC_SPECIES
Pr 140.91 Pr.upf
Sm 150.36 Sm.upf
Tm 168.93 Tm.upf
CELL_PARAMETERS angstrom
5.110 -3.315 0.000
5.110 3.315 0.000
-2.223 0.000 8.180
ATOMIC_POSITIONS angstrom
Pr 0.000 0.000 0.000
Sm -1.111 0.000 4.090
Tm 2.636 1.604 1.654
Tm 2.563 0.000 4.730
Tm 5.360 1.604 6.526
Tm 2.636 -1.604 1.654
Tm 5.433 0.000 3.450
Tm 5.360 -1.604 6.526
! distance to the lowest polymorph of the same formula	342	meV per atom
! DFT formation energy	0.3711	eV/atom


Record 2
! LiAs2Au (PBE-GGA, relaxed); values from VASP
&SYSTEM
  ibrav = 0, nat = 4, ntyp = 3
/
ATOMIC_SPECIES
Li 6.94 Li.upf
As 74.92 As.upf
Au 196.97 Au.upf
CELL_PARAMETERS angstrom
3.729 0.000 0.000
0.000 3.729 0.000
0.000 0.000 5.321
ATOMIC_POSITIONS angstrom
Li 0.000 0.000 0.000
As 0.000 0.000 2.624
As 1.864 1.864 1.779
Au 1.864 1.864 4.512
! distance to the lowest polymorph of the same formula	84	meV per atom
! DFT formation energy	-0.1525	eV/atom


Record 3
! Pm2HgP (PBE-GGA, relaxed); values from VASP
&SYSTEM
  ibrav = 0, nat = 4, ntyp = 3
/
ATOMIC_SPECIES
Pm 145.00 Pm.upf
Hg 200.59 Hg.upf
P 30.97 P.upf
CELL_PARAMETERS angstrom
0.000 3.669 3.669
3.669 0.000 3.669
3.669 3.669 0.000
ATOMIC_POSITIONS angstrom
Pm 1.835 1.835 1.835
Pm 5.504 5.504 5.504
Hg 0.000 0.000 0.000
P 3.669 3.669 3.669
! distance to the lowest polymorph of the same formula	355	meV per atom
! DFT formation energy	-0.6277	eV/atom


Record 4
! NpPdPb2 (PBE-GGA, relaxed); values from VASP
&SYSTEM
  ibrav = 0, nat = 4, ntyp = 3
/
ATOMIC_SPECIES
Np 237.00 Np.upf
Pd 106.42 Pd.upf
Pb 207.20 Pb.upf
CELL_PARAMETERS angstrom
1.645 0.950 10.901
-1.645 0.950 10.901
0.000 -1.899 10.901
ATOMIC_POSITIONS angstrom
Np 0.000 0.000 0.000
Pd 0.000 0.000 16.352
Pb 0.000 0.000 3.270
Pb 0.000 0.000 29.433
! DFT formation energy	0.2833	eV/atom


Record 5
! Sm14ErMg (PBE-GGA, relaxed); values from VASP
&SYSTEM
  ibrav = 0, nat = 16, ntyp = 3
/
ATOMIC_SPECIES
Sm 150.36 Sm.upf
Er 167.26 Er.upf
Mg 24.30 Mg.upf
CELL_PARAMETERS angstrom
10.191 0.000 0.000
0.000 5.080 5.080
0.000 -5.080 5.080
ATOMIC_POSITIONS angstrom
Sm 0.000 0.000 10.158
Sm 0.000 2.538 7.620
Sm 0.000 -2.538 7.620
Sm 0.000 0.000 5.080
Sm 2.573 0.000 2.534
Sm 2.576 -2.545 5.079
Sm 2.576 2.545 5.079
Sm 2.579 0.000 7.624
Sm 5.095 -2.538 2.539
Sm 5.095 2.538 2.539
Sm 7.615 -2.545 5.079
Sm 7.615 2.545 5.079
Sm 7.612 0.000 7.624
Sm 7.618 0.000 2.534
Er 5.095 0.000 0.000
Mg 5.095 0.000 5.072
! DFT formation energy	0.0127	eV/atom


Record 6
! RbTc2PdS (PBE-GGA, relaxed); values from VASP
&SYSTEM
  ibrav = 0, nat = 5, ntyp = 4
/
ATOMIC_SPECIES
Rb 85.47 Rb.upf
Tc 98.00 Tc.upf
Pd 106.42 Pd.upf
S 32.06 S.upf
CELL_PARAMETERS angstrom
4.433 0.000 0.000
0.000 4.433 0.000
0.000 0.000 5.871
ATOMIC_POSITIONS angstrom
Rb 0.000 0.000 0.000
Tc 0.000 2.216 2.935
Tc 2.216 0.000 2.935
Pd 2.216 2.216 0.000
S 0.000 0.000 2.935
! formation energy (no corrections)	0.892	eV per atom


Record 7
! LaBe (PBE-GGA, relaxed); values from VASP
&SYSTEM
  ibrav = 0, nat = 4, ntyp = 2
/
ATOMIC_SPECIES
La 138.91 La.upf
Be 9.01 Be.upf
CELL_PARAMETERS angstrom
3.576 0.000 0.000
-1.750 3.506 0.000
-1.771 -1.130 7.635
ATOMIC_POSITIONS angstrom
La 0.005 -0.003 2.099
La 0.051 2.379 5.536
Be -1.749 1.256 7.628
Be 1.805 1.120 0.007
! distance to the lowest polymorph of the same formula	92	meV per atom
! DFT formation energy	0.1314	eV/atom


Record 8
! SiBiC2 (PBE-GGA, relaxed); values from VASP
&SYSTEM
  ibrav = 0, nat = 8, ntyp = 3
/
ATOMIC_SPECIES
Si 28.09 Si.upf
Bi 208.98 Bi.upf
C 12.01 C.upf
CELL_PARAMETERS angstrom
-2.523 2.523 4.668
2.523 -2.523 4.668
2.523 2.523 -4.668
ATOMIC_POSITIONS angstrom
Si 0.000 0.000 0.000
Si 0.000 2.523 2.334
Bi 2.523 0.000 2.334
Bi 0.000 0.000 4.668
C 3.785 0.787 -1.167
C 0.787 1.262 1.167
C -1.262 1.736 3.501
C 1.736 1.262 5.835
! distance to the lowest polymorph of the same formula	0	meV per atom
! formation energy (no corrections)	0.854	eV per atom


Record 9
! BaAg6Cl8 (PBE-GGA, relaxed); values from VASP
&SYSTEM
  ibrav = 0, nat = 15, ntyp = 3
/
ATOMIC_SPECIES
Ba 137.33 Ba.upf
Ag 107.87 Ag.upf
Cl 35.45 Cl.upf
CELL_PARAMETERS angstrom
5.460 3.152 3.774
-5.460 3.152 3.774
0.000 -6.305 3.774
ATOMIC_POSITIONS angstrom
Ba 0.000 0.000 0.000
Ag -1.347 -2.080 4.053
Ag -1.128 2.207 4.053
Ag -2.475 0.127 7.268
Ag 2.475 -0.127 4.053
Ag 1.128 -2.207 7.268
Ag 1.347 2.080 7.268
Cl -3.432 0.966 4.971
Cl -2.553 -2.489 6.350
Cl 0.000 0.000 3.323
Cl 0.879 -3.456 4.971
Cl -0.879 3.456 6.350
Cl 0.000 0.000 7.998
Cl 2.553 2.489 4.971
Cl 3.432 -0.966 6.350
! formation energy (no corrections)	-0.845	eV per atom


Record 10
! W3Br (PBE-GGA, relaxed); values from VASP
&SYSTEM
  ibrav = 0, nat = 16, ntyp = 2
/
ATOMIC_SPECIES
W 183.84 W.upf
Br 79.90 Br.upf
CELL_PARAMETERS angstrom
5.738 0.000 0.000
-2.869 4.969 0.000
0.000 0.000 9.757
ATOMIC_POSITIONS angstrom
W -1.434 2.484 0.000
W -1.434 2.484 4.878
W 0.000 1.804 2.439
W -1.306 4.067 2.439
W 1.562 0.902 7.318
W 2.869 0.000 0.000
W 2.869 0.000 4.878
W 1.434 2.484 0.000
W 1.434 2.484 4.878
W 1.306 4.067 2.439
W 4.175 0.902 7.318
W 2.869 3.165 7.318
Br 0.000 0.000 0.000
Br 0.000 0.000 4.878
Br 0.000 3.313 7.318
Br 2.869 1.656 2.439
! distance to the lowest polymorph of the same formula	709	meV per atom
! formation energy (no corrections)	1.443	eV per atom